Al2SiTc: relaxed, PBE-GGA.

The density of states at the Fermi level comes out at 0.356 states/eV/atom. The calculation puts the formation energy without anion corrections at -0.3495 eV/atom. For the raw total energy, the calculation gives -6.168 eV/atom.

The structure belongs to space group P2_1/m (No. 11); the cell edges are 5.151, 4.344 and 5.424 Å and the angles 90.00°, 106.33° and 90.00°. The distinct sites, in fractional coordinates, are Al at (0.056, 0.250, 0.171), Al at (0.341, 0.750, 0.405), Si at (0.453, 0.750, 0.876) and Tc at (0.190, 0.250, 0.717).

=====

AlSi2Tc2: relaxed, PBE-GGA.

The density of states at the Fermi level comes out at 0.390 states/eV/atom. The calculation puts the formation energy without anion corrections at -0.3372 eV/atom. For the raw total energy, the calculation gives -7.401 eV/atom.

The structure belongs to space group P4/mbm (No. 127); the cell edges are 6.801, 6.801 and 3.108 Å and the angles 90.00°, 90.00° and 90.00°. The distinct sites, in fractional coordinates, are Al at (0.000, 0.000, 0.000), Si at (0.143, 0.357, 0.500) and Tc at (0.152, 0.652, 0.000).

=====

AlSiTc2: relaxed, PBE-GGA.

The density of states at the Fermi level comes out at 0.536 states/eV/atom. The calculation puts the formation energy without anion corrections at -0.2062 eV/atom. For the raw total energy, the calculation gives -7.681 eV/atom.

The structure belongs to space group Cmmm (No. 65); the cell edges are 3.045, 4.739 and 7.902 Å and the angles 90.00°, 90.00° and 90.00°. The distinct sites, in fractional coordinates, are Al at (0.000, 0.000, 0.000), Si at (0.000, 0.000, 0.500) and Tc at (0.000, 0.500, 0.264).

=====

- Which of these has the highest raw total energy?
  Al2SiTc

=====

- Look up the raw total energy of the second one.
  -7.401 eV/atom

=====

- formation energy without anion corrections of number 3 (AlSiTc2)?
  -0.2062 eV/atom